DFT (GGA-PBE) results for crystalline Mg2InTe at its relaxed geometry.

* polymorph energy (0 for the lowest one): 44.4 meV per atom
* E_tot: -2.50 eV/atom

a b c (Å): 3.855 3.855 6.708
angles (deg): 90.00 90.00 90.05
Element x y z (fractional)
In1 0.500 0.500 0.750
Mg1 0.000 0.000 0.005
Mg2 0.000 0.000 0.495
Te1 0.500 0.500 0.250